Entry 1:
Compound: SrReNiMo2
Source: Alexandria via LeMat-Bulk
Functional: PBE-GGA
Structure: relaxed

For the uncorrected energy, the calculation gives -32.52 eV per formula unit. The total moment is 0.36 μB/atom. The formation enthalpy at 0 K comes out at 9.05 eV/f.u. The space group is No. 123.

Cell: 4.5568 5.0255 4.5568 Å, 90.00 90.00 90.00°
Closest atoms and distances in Å follow each position.
Fractional positions:
Mo 0.0000 0.0000 0.5000  2 Ni 2.28
Mo 0.5000 0.0000 0.0000  2 Ni 2.28
Re 0.5000 0.5000 0.5000  4 Sr 3.22, 8 Mo 3.39
Ni 0.0000 0.0000 0.0000  4 Mo 2.28, 2 Sr 2.51
Sr 0.0000 0.5000 0.0000  2 Ni 2.51



Entry 2:
Compound: ZnReNi2Mo
Source: Alexandria via LeMat-Bulk
Functional: PBE-GGA
Structure: relaxed

For the uncorrected energy, the calculation gives -28.21 eV per formula unit. The total moment is 0.00 μB/atom. The formation enthalpy at 0 K comes out at 7.90 eV/f.u. The space group is No. 123.

Cell: 4.4866 4.6898 4.4866 Å, 90.00 90.00 90.00°
Closest atoms and distances in Å follow each position.
Fractional positions:
Re 0.0000 0.5000 0.0000  2 Mo 2.34
Ni 0.0000 0.0000 0.5000  2 Mo 2.24
Ni 0.5000 0.0000 0.0000  2 Mo 2.24
Mo 0.0000 0.0000 0.0000  4 Ni 2.24, 2 Re 2.34
Zn 0.5000 0.5000 0.5000  4 Re 3.17, 8 Ni 3.25



Look up the uncorrected energy of the first one. -32.52 eV per formula unit



Which of these has the lowest total moment? ZnReNi2Mo



Which formula does entry 1 have? SrReNiMo2



Which of these has the lowest formation enthalpy at 0 K? ZnReNi2Mo